No. 1
First-principles (PBE) data for an optimized crystal structure of BaTa2Pt, as listed in Alexandria via LeMat-Bulk.

abc: 10.2125 10.2125 10.2125
angles: 18.33 18.33 18.33
Last column: nearest neighbours and their distance in Å.
Atoms (fractional coordinates):
Ba (0.4957, 0.4957, 0.4957)  6 Ba 3.25, 3 Pt 3.45
Pt (0.7331, 0.7331, 0.7331)  3 Ta 2.64
Ta (0.0047, 0.0047, 0.0047)  3 Pt 2.64, 3 Ta 2.86
Ta (0.2665, 0.2665, 0.2665)  3 Ta 2.86

ΔE to the lowest computed polymorph   274.6 meV/atom
Crystal system   trigonal
Formation enthalpy at 0 K   157 kJ/mol of formula units


No. 2
First-principles (PBE) data for an optimized crystal structure of CaSb2Au, as listed in Alexandria via LeMat-Bulk.

abc: 5.9302 5.9302 4.3182
angles: 77.00 77.00 45.50
Last column: nearest neighbours and their distance in Å.
Atoms (fractional coordinates):
Sb (0.9780, 0.9780, 0.9929)  1 Au 2.93, 2 Sb 3.07
Sb (0.5220, 0.5220, 0.5071)  1 Au 2.93, 2 Sb 3.07
Ca (0.2500, 0.2500, 0.2500)  4 Au 3.15, 6 Sb 3.37-3.42
Au (0.7500, 0.7500, 0.7500)  2 Sb 2.93, 4 Ca 3.15

Crystal system   monoclinic
ΔE_f (raw)   -0.404 eV/atom


No. 3
First-principles (PBE) data for an optimized crystal structure of Ca8Cd2Au, as listed in Alexandria via LeMat-Bulk.

abc: 5.4158 7.3663 9.9212
angles: 106.71 105.84 90.00
Last column: nearest neighbours and their distance in Å.
Atoms (fractional coordinates):
Ca (0.4064, 0.5647, 0.8128)  1 Au 3.17, 2 Cd 3.52
Ca (0.6564, 0.9632, 0.3129)  1 Au 3.08, 3 Cd 3.27-3.39
Ca (0.7925, 0.6952, 0.5851)  3 Cd 3.20-3.45
Ca (0.9749, 0.2099, 0.9498)  1 Cd 3.22, 2 Au 3.22, 3 Ca 3.50-3.60
Ca (0.2075, 0.3048, 0.4149)  3 Cd 3.20-3.45
Ca (0.3436, 0.0368, 0.6871)  1 Au 3.08, 3 Cd 3.27-3.39
Ca (0.5936, 0.4353, 0.1872)  1 Au 3.17, 2 Cd 3.52
Ca (0.0251, 0.7901, 0.0502)  1 Cd 3.22, 2 Au 3.22, 3 Ca 3.50-3.60
Cd (0.8171, 0.2842, 0.6341)  9 Ca 3.20-3.52
Cd (0.1829, 0.7158, 0.3659)  9 Ca 3.20-3.52
Au (0.5000, 0.0000, 0.0000)  8 Ca 3.08-3.22

Crystal system   monoclinic
Formation enthalpy at 0 K   -302 kJ/mol of formula units


No. 4
First-principles (PBE) data for an optimized crystal structure of CaY2ScIr, as listed in Alexandria via LeMat-Bulk.

abc: 5.5036 5.5036 5.1321
angles: 90.00 90.00 90.00
Last column: nearest neighbours and their distance in Å.
Atoms (fractional coordinates):
Y (0.0000, 0.5000, 0.0000)  2 Ir 2.75
Y (0.5000, 0.0000, 0.0000)  2 Ir 2.75
Sc (0.0000, 0.0000, 0.5000)  2 Ir 2.57
Ca (0.5000, 0.5000, 0.5000)  8 Y 3.76, 4 Sc 3.89
Ir (0.0000, 0.0000, 0.0000)  2 Sc 2.57, 4 Y 2.75

Crystal system   tetragonal
Formation enthalpy at 0 K   -154 kJ/mol of formula units


No. 5
First-principles (PBE) data for an optimized crystal structure of CrFe2ReSn, as listed in Alexandria via LeMat-Bulk.

abc: 4.1542 4.7725 4.1542
angles: 90.00 90.00 90.00
Last column: nearest neighbours and their distance in Å.
Atoms (fractional coordinates):
Cr (0.0000, 0.0000, 0.0000)  4 Fe 2.08
Re (0.5000, 0.5000, 0.5000)  4 Sn 2.94, 8 Fe 3.16
Sn (0.0000, 0.5000, 0.0000)  2 Cr 2.39
Fe (0.0000, 0.0000, 0.5000)  2 Cr 2.08
Fe (0.5000, 0.0000, 0.0000)  2 Cr 2.08

Crystal system   tetragonal
Formation enthalpy at 0 K   733 kJ/mol of formula units


No. 6
First-principles (PBE) data for an optimized crystal structure of MgBeRe2, as listed in Alexandria via LeMat-Bulk.

abc: 3.0100 3.0100 6.3441
angles: 90.00 90.00 90.00
Last column: nearest neighbours and their distance in Å.
Atoms (fractional coordinates):
Re (0.0000, 0.0000, 0.0640)  1 Re 2.36, 4 Be 2.43
Re (0.0000, 0.0000, 0.4360)  1 Re 2.36, 4 Be 2.43
Mg (0.5000, 0.5000, 0.7500)  8 Re 2.92, 4 Mg 3.01, 2 Be 3.17
Be (0.5000, 0.5000, 0.2500)  8 Re 2.43

ΔE to the lowest computed polymorph   204.4 meV/atom
Crystal system   tetragonal
Formation enthalpy at 0 K   99 kJ/mol of formula units


Calculated total energy
In order: -7.511, -3.785, -2.205, -6.344, -7.080, -7.299
Unit: eV/atom
Spin magnetization
In order: 0.000, 0.000, 0.000, 0.000, 0.712, 0.000
Unit: μB per atom